This record from Alexandria via LeMat-Bulk describes a geometry-optimized YCrF2 structure. The functional is PBE+U.

relative energy among the computed polymorphs = 0.362 eV per formula unit

Cell and atoms, written as POSCAR:
```
YCrF2
1.0
-0.997 -5.919 2.413
2.810 -5.406 2.177
0.840 -3.878 5.109
Cr F Y
1 2 1
Direct
0.500 0.500 0.500
0.881 0.881 0.881
0.119 0.119 0.119
0.000 0.000 0.000
```